VASP calculation (meta-GGA SCAN) on a PBEsol-optimized structure of AgSb2IF.

a = 5.2384 Å, b = 5.2384 Å, c = 5.4896 Å
α = 90.00°, β = 90.00°, γ = 90.00°
Closest atoms and distances in Å follow each position.
Space group P4/mmm (No. 123)
One atom of each set of equivalent atoms:
Ag  0.0000  0.0000  0.0000 [1 per cell]  4 Sb 2.62, 2 I 2.74
Sb  0.0000  0.5000  0.0000 [2 per cell]  2 Ag 2.62
I  0.0000  0.0000  0.5000 [1 per cell]  2 Ag 2.74
F  0.5000  0.5000  0.5000 [1 per cell]  4 I 3.70, 8 Sb 3.79

Calculated values
E_tot   -28.859 eV per atom
M_tot   0.000 μB/atom

---

VASP calculation (meta-GGA SCAN) on a PBEsol-optimized structure of Tl2AgIF.

a = 6.5111 Å, b = 6.5111 Å, c = 5.3425 Å
α = 90.00°, β = 90.00°, γ = 90.00°
Closest atoms and distances in Å follow each position.
Space group P4/mmm (No. 123)
One atom of each set of equivalent atoms:
Tl  0.0000  0.5000  0.0000 [2 per cell]  2 I 3.26
Ag  0.0000  0.0000  0.5000 [1 per cell]  2 I 2.67
I  0.0000  0.0000  0.0000 [1 per cell]  2 Ag 2.67
F  0.5000  0.5000  0.5000 [1 per cell]  8 Tl 4.21, 4 Ag 4.60

Calculated values
E_tot   -43.234 eV per atom
M_tot   0.000 μB/atom

---

VASP calculation (meta-GGA SCAN) on a PBEsol-optimized structure of InAgF2.

a = 6.1939 Å, b = 6.1939 Å, c = 6.1939 Å
α = 90.00°, β = 90.00°, γ = 90.00°
Closest atoms and distances in Å follow each position.
Space group Fm-3m (No. 225)
One atom of each set of equivalent atoms:
In  0.0000  0.0000  0.0000 [4 per cell]  8 F 2.68
Ag  0.0000  0.0000  0.5000 [4 per cell]  8 F 2.68
F  0.2500  0.2500  0.2500 [8 per cell]  4 Ag 2.68, 4 In 2.68

Calculated values
E_tot   -19.263 eV per atom
M_tot   0.000 μB/atom

---

Across the entries above, volume takes the values 150.64, 226.49, 59.41 Å³/f.u., respectively.